Entry 1:
AlAs | GGA-PBEsol | optimized geometry

Properties
Formation energy: -0.27 eV/atom
V: 22.90 Å³/atom
SG: R-3m

abc: 6.9741 6.9741 6.9741
angles: 33.41 33.41 33.41
With the nearest neighbours (Å) after each atom.
Atoms (fractional coordinates):
Al 0.1213 0.1213 0.1213  4 As 2.47-2.64
Al 0.8787 0.8787 0.8787  4 As 2.47-2.64
As 0.2552 0.2552 0.2552  4 Al 2.47-2.64
As 0.7448 0.7448 0.7448  4 Al 2.47-2.64



Entry 2:
NaTiBe2Pt | GGA-PBEsol | optimized geometry

Properties
Formation energy: 0.29 eV/atom
V: 18.67 Å³/atom
SG: P4/mmm

abc: 4.4118 4.4118 4.7967
angles: 90.00 90.00 90.00
With the nearest neighbours (Å) after each atom.
Atoms (fractional coordinates):
Na 0.0000 0.0000 0.0000  4 Ti 3.12, 8 Be 3.26
Ti 0.5000 0.5000 0.0000  2 Pt 2.40
Be 0.0000 0.5000 0.5000  2 Pt 2.21
Be 0.5000 0.0000 0.5000  2 Pt 2.21
Pt 0.5000 0.5000 0.5000  4 Be 2.21, 2 Ti 2.40



Entry 3:
Na2ZnCl4 | GGA-PBEsol | optimized geometry

Properties
V: 24.88 Å³/atom
ΔE_f (raw): -1.52 eV/atom
SG: Pnma

abc: 13.6454 8.0352 6.3549
angles: 90.00 90.00 90.00
With the nearest neighbours (Å) after each atom.
Atoms (fractional coordinates):
Na 0.0000 0.0000 0.0000  6 Cl 2.76-2.81
Na 0.0000 0.5000 0.0000  6 Cl 2.76-2.81
Na 0.2288 0.2500 0.4908  6 Cl 2.76-2.86
Na 0.2712 0.7500 0.9908  6 Cl 2.76-2.86
Na 0.5000 0.0000 0.5000  6 Cl 2.76-2.81
Na 0.5000 0.5000 0.5000  6 Cl 2.76-2.81
Na 0.7288 0.2500 0.0092  6 Cl 2.76-2.86
Na 0.7712 0.7500 0.5092  6 Cl 2.76-2.86
Zn 0.0926 0.7500 0.4111  4 Cl 2.23-2.28
Zn 0.4074 0.2500 0.9111  4 Cl 2.23-2.28
Zn 0.5926 0.7500 0.0889  4 Cl 2.23-2.28
Zn 0.9074 0.2500 0.5889  4 Cl 2.23-2.28
Cl 0.0609 0.2500 0.7321  1 Zn 2.28
Cl 0.0925 0.7500 0.7624  1 Zn 2.23
Cl 0.1665 0.5269 0.2588  1 Zn 2.27
Cl 0.1665 0.9731 0.2588  1 Zn 2.27
Cl 0.3335 0.0269 0.7588  1 Zn 2.27
Cl 0.3335 0.4731 0.7588  1 Zn 2.27
Cl 0.4075 0.2500 0.2624  1 Zn 2.23
Cl 0.4391 0.7500 0.2321  1 Zn 2.28
Cl 0.5609 0.2500 0.7679  1 Zn 2.28
Cl 0.5925 0.7500 0.7376  1 Zn 2.23
Cl 0.6665 0.5269 0.2412  1 Zn 2.27
Cl 0.6665 0.9731 0.2412  1 Zn 2.27
Cl 0.8335 0.0269 0.7412  1 Zn 2.27
Cl 0.8335 0.4731 0.7412  1 Zn 2.27
Cl 0.9075 0.2500 0.2376  1 Zn 2.23
Cl 0.9391 0.7500 0.2679  1 Zn 2.28



Entry 4:
Cu8As | GGA-PBEsol | optimized geometry

Properties
Formation energy: 0.01 eV/atom
V: 11.78 Å³/atom
SG: I4/mmm

abc: 5.7023 5.7023 5.7023
angles: 95.81 95.81 142.90
With the nearest neighbours (Å) after each atom.
Atoms (fractional coordinates):
Cu 0.0000 0.3364 0.3364  11 Cu 2.50-2.57, 1 As 2.57
Cu 0.0000 0.6636 0.6636  11 Cu 2.50-2.57, 1 As 2.57
Cu 0.3307 0.3307 0.6613  10 Cu 2.52-2.59, 2 As 2.58
Cu 0.3307 0.6693 0.0000  10 Cu 2.52-2.59, 2 As 2.58
Cu 0.3364 0.0000 0.3364  11 Cu 2.50-2.57, 1 As 2.57
Cu 0.6636 0.0000 0.6636  11 Cu 2.50-2.57, 1 As 2.57
Cu 0.6693 0.3307 0.0000  10 Cu 2.52-2.59, 2 As 2.58
Cu 0.6693 0.6693 0.3387  10 Cu 2.52-2.59, 2 As 2.58
As 0.0000 0.0000 0.0000  12 Cu 2.57-2.58



Entry 5:
HfCo2Au2 | GGA-PBEsol | optimized geometry

Properties
Formation energy: 0.03 eV/atom
V: 15.87 Å³/atom
SG: I4/mmm

abc: 7.0080 7.0080 7.0080
angles: 151.27 151.27 41.08
With the nearest neighbours (Å) after each atom.
Atoms (fractional coordinates):
Hf 0.0000 0.0000 0.0000  8 Au 2.82
Co 0.2500 0.7500 0.5000  4 Co 2.46, 4 Au 2.58
Co 0.7500 0.2500 0.5000  4 Co 2.46, 4 Au 2.58
Au 0.3952 0.3952 0.0000  4 Co 2.58, 1 Au 2.75, 4 Hf 2.82
Au 0.6048 0.6048 0.0000  4 Co 2.58, 1 Au 2.75, 4 Hf 2.82



Entry 6:
TlAg | GGA-PBEsol | optimized geometry

Properties
Formation energy: 0.10 eV/atom
V: 21.66 Å³/atom
SG: P2_1/m

abc: 3.4051 4.7185 5.6292
angles: 90.00 106.72 90.00
With the nearest neighbours (Å) after each atom.
Atoms (fractional coordinates):
Tl 0.1542 0.2500 0.3139  7 Ag 2.91-3.05
Tl 0.8458 0.7500 0.6861  7 Ag 2.91-3.05
Ag 0.4258 0.2500 0.8526  2 Ag 2.84, 7 Tl 2.91-3.05
Ag 0.5742 0.7500 0.1474  2 Ag 2.84, 7 Tl 2.91-3.05